# 1
The following is a DFT calculation (PBE) of a geometry-optimized Ac4SbSe2N2 structure.

Summary:
ΔE_f (raw) (eV per atom): -1.408

a = 4.118 Å, b = 9.296 Å, c = 9.355 Å
α = 122.25°, β = 90.00°, γ = 102.80°
Sites, in units of the cell vectors:
N: 0.673 0.347 0.961
Ac: 0.771 0.542 0.854
Se: 0.886 0.772 0.428
N: 0.327 0.653 0.039
Ac: 0.524 0.049 0.731
Ac: 0.229 0.458 0.146
Se: 0.114 0.228 0.572
Sb: 0.000 0.000 0.000
Ac: 0.476 0.951 0.269

---

# 2
The following is a DFT calculation (PBE) of a geometry-optimized ZnNi23Pt6 structure.

a = 8.034 Å, b = 8.034 Å, c = 8.034 Å
α = 60.00°, β = 60.00°, γ = 60.00°
Site moments in Bohr magnetons follow the coordinates.
Sites, in units of the cell vectors:
Ni: 0.878 0.367 0.878  0.67
Ni: 0.878 0.878 0.367  0.67
Ni: 0.122 0.122 0.633  0.67
Ni: 0.666 0.666 0.666  0.73
Ni: 0.000 0.500 0.000  0.69
Pt: 0.272 0.728 0.728  0.24
Pt: 0.728 0.728 0.272  0.24
Ni: 0.500 0.000 0.500  0.69
Ni: 0.334 0.334 0.997  0.73
Zn: 0.500 0.500 0.500  -0.01
Ni: 0.000 0.000 0.500  0.69
Ni: 0.500 0.500 0.000  0.69
Pt: 0.728 0.272 0.728  0.24
Pt: 0.272 0.728 0.272  0.24
Pt: 0.728 0.272 0.272  0.24
Ni: 0.334 0.334 0.334  0.73
Ni: 0.367 0.878 0.878  0.67
Ni: 0.122 0.122 0.122  0.67
Ni: 0.000 0.500 0.500  0.69
Ni: 0.878 0.878 0.878  0.67
Ni: 0.334 0.997 0.334  0.73
Ni: 0.003 0.666 0.666  0.73
Ni: 0.000 0.000 0.000  0.70
Ni: 0.997 0.334 0.334  0.73
Ni: 0.633 0.122 0.122  0.67
Ni: 0.122 0.633 0.122  0.67
Ni: 0.500 0.000 0.000  0.69
Pt: 0.272 0.272 0.728  0.24
Ni: 0.666 0.666 0.003  0.73
Ni: 0.666 0.003 0.666  0.73

---

# 3
The following is a DFT calculation (PBE) of a geometry-optimized MoIrPt2 structure.

Summary:
E above lowest polymorph (meV/atom): 138

a = 2.745 Å, b = 2.745 Å, c = 8.104 Å
α = 90.00°, β = 90.00°, γ = 89.99°
Sites, in units of the cell vectors:
Ir: 0.500 0.500 0.250
Mo: 0.500 0.500 0.750
Pt: 0.000 0.000 0.997
Pt: 0.000 0.000 0.503

---

# 4
The following is a DFT calculation (PBE) of a geometry-optimized TbEuLuTh structure.

a = 5.719 Å, b = 5.719 Å, c = 5.719 Å
α = 60.00°, β = 60.00°, γ = 60.00°
Site moments in Bohr magnetons follow the coordinates.
Sites, in units of the cell vectors:
Lu: 0.250 0.250 0.250  0.00
Tb: 0.750 0.750 0.750  0.02
Eu: 0.000 0.000 0.000  6.85
Th: 0.500 0.500 0.500  -0.05

---

# 5
The following is a DFT calculation (PBE) of a geometry-optimized Li5Mg2ZnCd2 structure.

a = 3.527 Å, b = 10.510 Å, c = 10.510 Å
α = 90.00°, β = 90.00°, γ = 90.00°
Sites, in units of the cell vectors:
Li: 0.500 0.500 0.000
Li: 0.500 0.315 0.554
Li: 0.500 0.685 0.446
Li: 0.500 0.185 0.054
Mg: 0.000 0.832 0.668
Mg: 0.000 0.168 0.332
Li: 0.500 0.946 0.185
Li: 0.500 0.446 0.315
Cd: 0.000 0.366 0.134
Li: 0.500 0.054 0.815
Zn: 0.000 0.000 0.000
Zn: 0.000 0.500 0.500
Cd: 0.000 0.866 0.366
Li: 0.500 0.000 0.500
Li: 0.500 0.815 0.946
Mg: 0.000 0.668 0.168
Mg: 0.000 0.332 0.832
Li: 0.500 0.554 0.685
Cd: 0.000 0.134 0.634
Cd: 0.000 0.634 0.866

---

# 6
The following is a DFT calculation (PBE) of a geometry-optimized V2CoGe structure.

a = 4.175 Å, b = 5.169 Å, c = 5.104 Å
α = 113.12°, β = 90.00°, γ = 90.00°
Sites, in units of the cell vectors:
Co: 0.250 0.347 0.668
Co: 0.750 0.653 0.332
Ge: 0.750 0.640 0.825
V: 0.750 0.145 0.870
V: 0.250 0.855 0.130
V: 0.750 0.149 0.378
V: 0.250 0.851 0.622
Ge: 0.250 0.360 0.175

---

# 7
The following is a DFT calculation (PBE) of a geometry-optimized BaAcAlTl structure.

a = 5.854 Å, b = 5.854 Å, c = 5.854 Å
α = 60.00°, β = 60.00°, γ = 60.00°
Sites, in units of the cell vectors:
Ba: 0.750 0.750 0.750
Al: 0.000 0.000 0.000
Ac: 0.250 0.250 0.250
Tl: 0.500 0.500 0.500

---

# 8
The following is a DFT calculation (PBE) of a geometry-optimized BaYOF2 structure.

Summary:
ΔE_f (raw) (eV per atom): -3.055
E above lowest polymorph (meV/atom): 0

a = 4.642 Å, b = 4.642 Å, c = 4.407 Å
α = 90.00°, β = 90.00°, γ = 90.00°
Site moments in Bohr magnetons follow the coordinates.
Sites, in units of the cell vectors:
Y: 0.000 0.000 0.000  0.08
O: 0.000 0.000 0.500  0.00
F: 0.000 0.500 0.000  0.02
F: 0.500 0.000 0.000  0.02
Ba: 0.500 0.500 0.500  0.16

---

no.,theoretical density (g cm⁻³),calculated volume (Å³ per atom),energy (eV/atom)
1,6.91,32.5,-6.317
2,11.71,12.2,-5.652
3,18.44,15.3,-8.056
4,9.01,33.1,-6.518
5,3.18,19.5,-1.671
6,7.65,12.7,-7.767
7,6.97,35.5,-3.226
8,4.90,19.0,-6.472